! PuTaCuO6 | the Alexandria database | PBE-GGA | relaxed; values from VASP
&SYSTEM
  ibrav = 0, nat = 18, ntyp = 4
/
ATOMIC_SPECIES
Pu 244.00 Pu.upf
Ta 180.95 Ta.upf
Cu 63.55 Cu.upf
O 16.00 O.upf
CELL_PARAMETERS angstrom
5.448 0.000 0.000
-2.724 4.718 0.000
0.000 0.000 8.988
ATOMIC_POSITIONS crystal
Pu 0.333 0.667 0.250
Pu 0.667 0.333 0.750
Ta 0.333 0.667 0.750
Ta 0.667 0.333 0.250
Cu 0.000 0.000 0.000
Cu 0.000 0.000 0.500
O 0.013 0.358 0.633
O 0.013 0.656 0.867
O 0.344 0.358 0.867
O 0.344 0.987 0.633
O 0.358 0.013 0.133
O 0.358 0.344 0.367
O 0.642 0.656 0.633
O 0.642 0.987 0.867
O 0.656 0.013 0.367
O 0.656 0.642 0.133
O 0.987 0.344 0.133
O 0.987 0.642 0.367
! SG: P-31c (163)
! Crystal system: trigonal

! TbNd3N | the Alexandria database | PBE-GGA | relaxed; values from VASP
&SYSTEM
  ibrav = 0, nat = 5, ntyp = 3
/
ATOMIC_SPECIES
Tb 158.93 Tb.upf
Nd 144.24 Nd.upf
N 14.01 N.upf
CELL_PARAMETERS angstrom
5.150 0.000 0.000
0.000 5.150 0.000
0.000 0.000 5.150
ATOMIC_POSITIONS crystal
Tb 0.000 0.000 0.000
Nd 0.000 0.500 0.500
Nd 0.500 0.000 0.500
Nd 0.500 0.500 0.000
N 0.500 0.500 0.500
! SG: Pm-3m (221)
! Crystal system: cubic

! NaNi3N | the Alexandria database | PBE-GGA | relaxed; values from VASP
&SYSTEM
  ibrav = 0, nat = 5, ntyp = 3
/
ATOMIC_SPECIES
Na 22.99 Na.upf
Ni 58.69 Ni.upf
N 14.01 N.upf
CELL_PARAMETERS angstrom
3.843 0.000 0.000
0.000 3.843 0.000
0.000 0.000 3.843
ATOMIC_POSITIONS crystal
Na 0.000 0.000 0.000
Ni 0.000 0.500 0.500
Ni 0.500 0.000 0.500
Ni 0.500 0.500 0.000
N 0.500 0.500 0.500
! SG: Pm-3m (221)
! Crystal system: cubic

! K2SrPuBr6 | the Alexandria database | PBE-GGA | relaxed; values from VASP
&SYSTEM
  ibrav = 0, nat = 20, ntyp = 4
/
ATOMIC_SPECIES
K 39.10 K.upf
Sr 87.62 Sr.upf
Pu 244.00 Pu.upf
Br 79.90 Br.upf
CELL_PARAMETERS angstrom
7.865 0.000 0.000
0.000 8.370 0.000
-7.839 0.000 11.399
ATOMIC_POSITIONS crystal
K 0.221 0.079 0.250
K 0.221 0.421 0.750
K 0.779 0.579 0.250
K 0.779 0.921 0.750
Sr 0.500 0.000 0.000
Sr 0.500 0.500 0.500
Pu 0.000 0.000 0.500
Pu 0.000 0.500 0.000
Br 0.122 0.198 0.934
Br 0.122 0.302 0.434
Br 0.242 0.695 0.935
Br 0.242 0.805 0.435
Br 0.375 0.047 0.748
Br 0.375 0.453 0.248
Br 0.625 0.547 0.752
Br 0.625 0.953 0.252
Br 0.758 0.195 0.565
Br 0.758 0.305 0.065
Br 0.878 0.698 0.566
Br 0.878 0.802 0.066
! SG: P2_1/c (14)
! Crystal system: monoclinic

! Sr2SbOsN | the Alexandria database | PBE-GGA | relaxed; values from VASP
&SYSTEM
  ibrav = 0, nat = 5, ntyp = 4
/
ATOMIC_SPECIES
Sr 87.62 Sr.upf
Sb 121.76 Sb.upf
Os 190.23 Os.upf
N 14.01 N.upf
CELL_PARAMETERS angstrom
5.552 0.000 0.000
0.000 5.552 0.000
0.000 0.000 3.842
ATOMIC_POSITIONS crystal
Sr 0.000 0.500 0.000
Sr 0.500 0.000 0.000
Sb 0.000 0.000 0.500
Os 0.500 0.500 0.500
N 0.500 0.500 0.000
! SG: P4/mmm (123)
! Crystal system: tetragonal

! MnRePdSe | the Alexandria database | PBE-GGA | relaxed; values from VASP
&SYSTEM
  ibrav = 0, nat = 4, ntyp = 4
/
ATOMIC_SPECIES
Mn 54.94 Mn.upf
Re 186.21 Re.upf
Pd 106.42 Pd.upf
Se 78.96 Se.upf
CELL_PARAMETERS angstrom
-1.388 1.395 7.967
1.388 -1.395 7.967
1.388 1.395 -7.967
ATOMIC_POSITIONS crystal
Mn 0.000 0.000 0.000
Re 0.399 0.399 0.000
Pd 0.772 0.772 0.000
Se 0.123 0.623 0.500
! SG: Imm2 (44)
! Crystal system: orthorhombic

Calculated values (μB/f.u.) of total moment for the records, taken in order: 2.0, 0.0, 0.0, 6.0, 0.0, 0.9.
Calculated values (eV/atom) of calculated total energy for the records, taken in order: -8.81, -5.90, -5.28, -4.57, -5.86, -7.45.